No. 1
Below is crystalline NaSi2OsPt at its relaxed geometry, with properties calculated at the GGA-PBE level.

Computed properties:
For the density of states at the Fermi level, the calculation gives 4.5 states/eV/cell. As for the raw formation energy: 2.130 eV/atom. As for the total energy: -18.8 eV for the cell shown. The volume is 18.41 A^3/atom. For the total magnetic moment, the calculation gives 0.0 μB per cell.

a = 4.546 Å, b = 4.546 Å, c = 4.454 Å
α = 90.00°, β = 90.00°, γ = 90.00°
Space group P4/mmm (No. 123)
Symmetry-distinct sites (fractional):
Na 0.000 0.000 0.000 x1
Si 0.000 0.500 0.000 x2
Os 0.500 0.500 0.500 x1
Pt 0.000 0.000 0.500 x1



No. 2
Below is crystalline NaTa2OsPt at its relaxed geometry, with properties calculated at the GGA-PBE level.

Computed properties:
For the density of states at the Fermi level, the calculation gives 7.4 states/eV/cell. Its formation energy is 1.552 eV per atom. As for the total energy: -34.5 eV for the cell shown. The volume is 23.57 A^3/atom. For the total magnetic moment, the calculation gives 0.0 μB per cell.

a = 4.900 Å, b = 4.900 Å, c = 4.909 Å
α = 90.00°, β = 90.00°, γ = 90.00°
Space group P4/mmm (No. 123)
Symmetry-distinct sites (fractional):
Na 0.000 0.000 0.000 x1
Ta 0.000 0.500 0.500 x2
Os 0.500 0.500 0.000 x1
Pt 0.500 0.500 0.500 x1